Record 1
Al2Re GGA-PBE relaxed; crystal system = tetragonal; uncorrected energy = -199.170 eV per cell
1.0
9.679 0.000 0.000
0.000 9.679 0.000
0.000 0.000 4.927
Al Re
20 10
Cartesian
0.370 3.612 0.000
0.968 0.968 0.000
1.227 5.210 2.464
1.739 7.940 1.237
1.739 7.940 3.690
3.100 3.100 1.226
3.100 3.100 3.701
3.612 0.370 0.000
3.872 5.807 2.464
4.469 8.452 2.464
5.210 1.227 2.464
5.807 3.872 2.464
6.067 9.309 0.000
6.579 6.579 1.226
6.579 6.579 3.701
7.940 1.739 1.237
7.940 1.739 3.690
8.452 4.469 2.464
8.711 8.711 0.000
9.309 6.067 0.000
0.000 0.000 2.464
0.657 2.498 2.464
2.342 5.496 0.000
2.498 0.657 2.464
4.183 7.337 0.000
4.840 4.840 0.000
5.496 2.342 0.000
7.181 9.022 2.464
7.337 4.183 0.000
9.022 7.181 2.464

Record 2
Al7Re5 GGA-PBE relaxed; crystal system = hexagonal; E above lowest polymorph = 205 meV/atom
1.0
5.166 0.000 0.000
-2.583 4.474 0.000
0.000 0.000 16.037
Al Re
14 10
Cartesian
0.000 1.432 4.009
-1.342 3.757 4.009
1.240 0.716 12.028
0.000 2.982 2.016
0.000 2.982 6.003
0.000 2.982 10.358
0.000 2.982 13.698
2.583 1.491 2.339
2.583 1.491 5.679
2.583 1.491 10.035
2.583 1.491 14.021
1.342 3.757 4.009
3.925 0.716 12.028
2.583 3.041 12.028
0.000 0.000 1.571
0.000 0.000 6.448
0.000 0.000 9.589
0.000 0.000 14.467
-1.291 2.237 0.000
-1.291 2.237 8.019
2.583 0.000 0.000
2.583 0.000 8.019
1.291 2.237 0.000
1.291 2.237 8.019

Record 3
Al4Re13 GGA-PBE relaxed; crystal system = monoclinic; uncorrected energy = -174.135 eV per cell
1.0
8.726 -2.151 0.000
8.726 2.151 0.000
-3.569 0.000 7.089
Al Re
4 13
Cartesian
-0.705 0.000 2.321
2.546 0.000 5.472
11.338 0.000 1.617
14.589 0.000 4.768
1.229 0.000 0.260
-0.158 0.000 5.106
1.816 0.000 2.834
3.928 0.000 0.637
4.418 0.000 3.366
6.556 0.000 0.944
6.942 0.000 3.544
7.328 0.000 6.145
9.466 0.000 3.723
9.956 0.000 6.452
12.068 0.000 4.255
14.042 0.000 1.983
12.655 0.000 6.828

Record 4
Al44Re7 GGA-PBE relaxed; crystal system = cubic; uncorrected energy = -513.937 eV per cell
1.0
0.000 9.345 9.345
9.345 0.000 9.345
9.345 9.345 0.000
Al Re
88 14
Cartesian
2.676 2.676 0.554
6.669 6.669 0.554
2.676 0.554 2.676
8.791 6.669 2.676
6.669 0.554 6.669
8.791 2.676 6.669
4.672 4.672 1.144
4.672 1.144 4.672
8.201 4.672 4.672
5.652 3.693 3.693
10.502 8.188 4.285
10.502 4.285 8.188
14.405 8.188 8.188
9.345 9.345 1.993
9.345 1.993 9.345
16.697 9.345 9.345
9.839 6.399 6.399
12.291 8.851 6.399
12.291 6.399 8.851
0.554 2.676 2.676
6.669 8.791 2.676
6.669 2.676 8.791
7.569 7.569 5.098
11.121 11.121 5.098
7.569 5.098 7.569
13.592 11.121 7.569
11.121 5.098 11.121
13.592 7.569 11.121
3.693 5.652 3.693
3.693 3.693 5.652
5.652 5.652 5.652
10.368 8.322 8.322
8.188 10.502 4.285
8.188 4.285 10.502
14.405 10.502 10.502
7.791 7.791 7.791
10.899 10.899 7.791
10.899 7.791 10.899
1.144 4.672 4.672
4.672 8.201 4.672
4.672 4.672 8.201
14.952 13.083 11.115
14.952 11.115 13.083
16.920 13.083 13.083
6.399 9.839 6.399
8.851 12.291 6.399
6.399 6.399 9.839
12.291 12.291 9.839
8.851 6.399 12.291
12.291 9.839 12.291
5.098 7.569 7.569
11.121 13.592 7.569
11.121 7.569 13.592
8.322 10.368 8.322
8.322 8.322 10.368
10.368 10.368 10.368
12.641 12.641 12.641
15.394 15.394 12.641
15.394 12.641 15.394
0.554 6.669 6.669
2.676 8.791 6.669
2.676 6.669 8.791
13.083 14.952 11.115
13.083 11.115 14.952
16.920 14.952 14.952
7.791 10.899 10.899
4.285 10.502 8.188
8.188 14.405 8.188
4.285 8.188 10.502
10.502 14.405 10.502
8.188 8.188 14.405
10.502 10.502 14.405
6.399 12.291 8.851
6.399 8.851 12.291
9.839 12.291 12.291
1.993 9.345 9.345
9.345 16.697 9.345
9.345 9.345 16.697
11.115 14.952 13.083
13.083 16.920 13.083
11.115 13.083 14.952
14.952 16.920 14.952
13.083 13.083 16.920
14.952 14.952 16.920
5.098 11.121 11.121
7.569 13.592 11.121
7.569 11.121 13.592
12.641 15.394 15.394
3.067 3.067 3.067
6.278 6.278 3.067
6.278 3.067 6.278
16.934 11.101 11.101
9.345 9.345 6.167
9.345 6.167 9.345
12.522 9.345 9.345
3.067 6.278 6.278
6.167 9.345 9.345
9.345 12.522 9.345
9.345 9.345 12.522
11.101 16.934 11.101
11.101 11.101 16.934
16.934 16.934 16.934

Record 5
Al5Re8 GGA-PBE relaxed; crystal system = trigonal; E above lowest polymorph = 0 meV/atom
1.0
2.594 1.497 8.698
-2.594 1.497 8.698
0.000 -2.995 8.698
Al Re
5 8
Cartesian
0.000 0.000 0.000
0.000 0.000 4.353
0.000 0.000 9.079
0.000 0.000 17.014
0.000 0.000 21.741
0.000 -1.491 6.620
-1.291 0.745 6.620
-1.291 -0.745 19.473
0.000 0.000 11.862
0.000 0.000 14.232
1.291 0.745 6.620
1.291 -0.745 19.473
0.000 1.490 19.473

Record 6
AlRe GGA-PBE relaxed; crystal system = tetragonal; uncorrected energy = -33.551 eV per cell
1.0
3.100 0.000 0.000
0.000 3.100 0.000
0.000 0.000 5.977
Al Re
2 2
Cartesian
0.775 0.775 0.765
2.325 2.325 5.212
0.775 0.775 3.790
2.325 2.325 2.187

Record 7
Al13Re2 GGA-PBE relaxed; crystal system = tetragonal; uncorrected energy = -144.593 eV per cell
1.0
9.709 0.000 0.000
0.000 9.709 0.000
0.000 0.000 4.910
Al Re
26 4
Cartesian
0.000 0.000 0.000
0.365 3.562 2.455
0.674 2.529 0.000
1.292 5.219 0.000
1.714 7.994 1.238
1.714 7.994 3.672
2.326 5.528 2.455
2.529 0.674 0.000
3.140 3.140 1.217
3.140 3.140 3.693
3.562 0.365 2.455
4.180 7.383 2.455
4.489 8.416 0.000
4.854 4.854 2.455
5.219 1.292 0.000
5.528 2.326 2.455
6.147 9.343 2.455
6.569 6.569 1.217
6.569 6.569 3.693
7.180 9.035 0.000
7.383 4.180 2.455
7.994 1.714 1.238
7.994 1.714 3.672
8.416 4.489 0.000
9.035 7.180 0.000
9.343 6.147 2.455
1.047 1.047 2.455
3.807 5.901 0.000
5.901 3.807 0.000
8.661 8.661 2.455

Record 8
Al14Re GGA-PBE relaxed; crystal system = tetragonal; uncorrected energy = -129.868 eV per cell
1.0
9.704 0.000 0.000
0.000 9.704 0.000
0.000 0.000 5.187
Al Re
28 2
Cartesian
0.473 3.580 0.000
0.700 2.567 2.594
0.928 0.928 0.000
1.272 5.325 2.594
1.671 8.033 1.289
1.671 8.033 3.898
2.285 5.552 0.000
2.567 0.700 2.594
3.181 3.181 1.305
3.181 3.181 3.883
3.580 0.473 0.000
3.925 5.780 2.594
4.152 7.419 0.000
4.379 8.433 2.594
5.325 1.272 2.594
5.552 2.285 0.000
5.780 3.925 2.594
6.124 9.231 0.000
6.523 6.523 1.305
6.523 6.523 3.883
7.138 9.004 2.594
7.419 4.152 0.000
8.033 1.671 1.289
8.033 1.671 3.898
8.433 4.379 2.594
8.777 8.777 0.000
9.004 7.138 2.594
9.231 6.124 0.000
0.000 0.000 2.594
4.852 4.852 0.000

Record 9
Al7Re5 GGA-PBE relaxed; crystal system = hexagonal; E above lowest polymorph = 157 meV/atom
1.0
5.072 0.000 0.000
-2.536 4.393 0.000
0.000 0.000 16.486
Al Re
14 10
Cartesian
-1.268 2.196 0.000
-1.268 2.196 8.243
0.000 2.928 2.035
0.000 2.928 6.208
0.000 2.928 10.932
0.000 2.928 13.798
2.536 0.000 0.000
2.536 0.000 8.243
1.268 2.196 0.000
1.268 2.196 8.243
2.536 1.464 2.689
2.536 1.464 5.555
2.536 1.464 10.279
2.536 1.464 14.451
0.000 0.000 1.646
0.000 0.000 6.597
0.000 0.000 9.890
0.000 0.000 14.840
0.000 1.459 4.122
-1.273 3.663 4.122
1.264 0.730 12.365
1.273 3.663 4.122
3.809 0.730 12.365
2.536 2.934 12.365

Record 10
Al2Re GGA-PBE relaxed; crystal system = hexagonal; uncorrected energy = -158.411 eV per cell
1.0
4.997 0.000 0.000
-2.498 4.327 0.000
0.000 0.000 16.555
Al Re
16 8
Cartesian
0.000 0.000 1.627
0.000 0.000 6.650
0.000 0.000 9.905
0.000 0.000 14.927
-1.249 2.164 0.000
-1.249 2.164 8.277
0.000 1.427 4.139
-1.263 3.614 4.139
1.236 0.713 12.416
2.498 0.000 0.000
2.498 0.000 8.277
1.249 2.164 0.000
1.249 2.164 8.277
1.263 3.614 4.139
3.761 0.713 12.416
2.498 2.900 12.416
0.000 2.885 2.033
0.000 2.885 6.244
0.000 2.885 10.835
0.000 2.885 13.996
2.498 1.442 2.558
2.498 1.442 5.719
2.498 1.442 10.311
2.498 1.442 14.521

Record 11
Al8Re5 GGA-PBE relaxed; crystal system = trigonal; E above lowest polymorph = 35 meV/atom
1.0
2.517 1.453 8.598
-2.517 1.453 8.598
0.000 -2.906 8.598
Al Re
8 5
Cartesian
0.000 0.000 1.220
-1.275 -0.736 10.902
0.000 -1.473 14.890
-1.275 0.736 14.890
1.275 -0.736 10.902
0.000 1.473 10.902
1.275 0.736 14.890
0.000 0.000 24.573
0.000 0.000 3.759
0.000 0.000 8.577
0.000 0.000 12.896
0.000 0.000 17.216
0.000 0.000 22.034

Record 12
Al5Re8 GGA-PBE relaxed; crystal system = trigonal; E above lowest polymorph = 146 meV/atom
1.0
2.553 1.474 8.978
-2.553 1.474 8.978
0.000 -2.947 8.978
Al Re
5 8
Cartesian
0.000 0.000 0.000
0.000 0.000 9.424
0.000 0.000 12.189
0.000 0.000 14.746
0.000 0.000 17.511
0.000 -1.457 6.860
-1.262 0.729 6.860
0.000 0.000 4.482
-1.262 -0.729 20.075
1.262 0.729 6.860
0.000 0.000 22.453
1.262 -0.729 20.075
0.000 1.457 20.075

Number 1: V 461.6 Å³/cell. Number 2: V 370.6 Å³/cell. Number 3: V 266.1 Å³/cell. Number 4: V 1632.1 Å³/cell. Number 5: V 202.7 Å³/cell. Number 6: V 57.4 Å³/cell. Number 7: V 462.8 Å³/cell. Number 8: V 488.5 Å³/cell. Number 9: V 367.3 Å³/cell. Number 10: V 357.9 Å³/cell. Number 11: V 188.7 Å³/cell. Number 12: V 202.6 Å³/cell.